Version one
# ZrSc2Pt (PBE, relaxed)
data_ZrSc2Pt
_cell_length_a 6.825
_cell_length_b 6.825
_cell_length_c 6.825
_cell_angle_alpha 90.00
_cell_angle_beta 90.00
_cell_angle_gamma 90.00
_space_group_name_H-M_alt 'F m -3 m'
_space_group_IT_number 225
_space_group_name_Hall '-F 4 2 3'
loop_
_atom_site_label
_atom_site_type_symbol
_atom_site_fract_x
_atom_site_fract_y
_atom_site_fract_z
_atom_site_occupancy
Zr1 Zr 0.000 0.000 0.000 1
Sc1 Sc 0.250 0.250 0.250 1
Pt1 Pt 0.000 0.000 0.500 1
# Size of the total moment (μB per atom): 0.660
# ρ (Mg/m³): 7.86
# Volume (A^3/atom): 19.9

Version two
# ZrSc2Pt (PBE, relaxed)
data_ZrSc2Pt
_cell_length_a 7.827
_cell_length_b 7.827
_cell_length_c 5.838
_cell_angle_alpha 90.00
_cell_angle_beta 90.00
_cell_angle_gamma 90.00
_space_group_name_H-M_alt 'I -4 2 d'
_space_group_IT_number 122
_space_group_name_Hall 'I -4 2bw'
loop_
_atom_site_label
_atom_site_type_symbol
_atom_site_fract_x
_atom_site_fract_y
_atom_site_fract_z
_atom_site_occupancy
Zr1 Zr 0.000 0.000 0.000 1
Sc1 Sc 0.198 0.250 0.625 1
Pt1 Pt 0.000 0.000 0.500 1
# Size of the total moment (μB per atom): 0.000
# ρ (Mg/m³): 6.99
# Volume (A^3/atom): 22.4

Version three
# ZrSc2Pt (PBE, relaxed)
data_ZrSc2Pt
_cell_length_a 3.360
_cell_length_b 4.388
_cell_length_c 5.863
_cell_angle_alpha 90.00
_cell_angle_beta 103.28
_cell_angle_gamma 90.00
_space_group_name_H-M_alt 'P 1 m 1'
_space_group_IT_number 6
_space_group_name_Hall 'P -2y'
loop_
_atom_site_label
_atom_site_type_symbol
_atom_site_fract_x
_atom_site_fract_y
_atom_site_fract_z
_atom_site_occupancy
Zr1 Zr 0.000 0.000 0.000 1
Sc1 Sc 0.405 0.500 0.727 1
Sc2 Sc 0.816 0.000 0.456 1
Pt1 Pt 0.415 0.500 0.224 1
# Size of the total moment (μB per atom): 0.000
# ρ (Mg/m³): 7.43
# Volume (A^3/atom): 21.0

Which structure loses on stability? version two does.

Version one
# ZrSc2Pt (PBE, relaxed)
data_ZrSc2Pt
_cell_length_a 3.3470
_cell_length_b 3.3470
_cell_length_c 27.7426
_cell_angle_alpha 90.00
_cell_angle_beta 90.00
_cell_angle_gamma 120.00
_space_group_name_H-M_alt 'R 3 m'
_space_group_IT_number 160
_space_group_name_Hall 'R 3 -2"'
loop_
_atom_site_label
_atom_site_type_symbol
_atom_site_fract_x
_atom_site_fract_y
_atom_site_fract_z
_atom_site_occupancy
Zr1 Zr 0.0000 0.0000 0.0000 1
Sc1 Sc 0.0000 0.0000 0.2428 1
Sc2 Sc 0.0000 0.0000 0.4750 1
Pt1 Pt 0.0000 0.0000 0.7405 1
# Size of the total moment (μB per atom): 0.000
# ρ (Mg/m³): 6.96
# Volume (A^3/atom): 22.4

Version two
# ZrSc2Pt (PBE, relaxed)
data_ZrSc2Pt
_cell_length_a 3.386
_cell_length_b 3.386
_cell_length_c 7.408
_cell_angle_alpha 90.00
_cell_angle_beta 90.00
_cell_angle_gamma 90.00
_space_group_name_H-M_alt 'P 4 m m'
_space_group_IT_number 99
_space_group_name_Hall 'P 4 -2'
loop_
_atom_site_label
_atom_site_type_symbol
_atom_site_fract_x
_atom_site_fract_y
_atom_site_fract_z
_atom_site_occupancy
Zr1 Zr 0.000 0.000 0.000 1
Sc1 Sc 0.000 0.000 0.428 1
Sc2 Sc 0.500 0.500 0.736 1
Pt1 Pt 0.500 0.500 0.230 1
# Size of the total moment (μB per atom): 0.000
# ρ (Mg/m³): 7.36
# Volume (A^3/atom): 21.2

Which structure loses on stability? version one does.

Version one
# ZrSc2Pt2 (PBE, relaxed)
data_ZrSc2Pt2
_cell_length_a 4.5695
_cell_length_b 4.5695
_cell_length_c 5.7942
_cell_angle_alpha 90.00
_cell_angle_beta 90.00
_cell_angle_gamma 120.00
_space_group_name_H-M_alt 'P -3 m 1'
_space_group_IT_number 164
_space_group_name_Hall '-P 3 2"'
loop_
_atom_site_label
_atom_site_type_symbol
_atom_site_fract_x
_atom_site_fract_y
_atom_site_fract_z
_atom_site_occupancy
Zr1 Zr 0.0000 0.0000 0.0000 1
Sc1 Sc 0.3333 0.6667 0.6546 1
Pt1 Pt 0.3333 0.6667 0.1772 1
# Size of the total moment (μB per atom): 0.000
# ρ (Mg/m³): 9.05
# Volume (A^3/atom): 21.0

Version two
# ZrSc2Pt2 (PBE, relaxed)
data_ZrSc2Pt2
_cell_length_a 7.337
_cell_length_b 7.337
_cell_length_c 3.701
_cell_angle_alpha 90.00
_cell_angle_beta 90.00
_cell_angle_gamma 90.00
_space_group_name_H-M_alt 'P 4/m b m'
_space_group_IT_number 127
_space_group_name_Hall '-P 4 2ab'
loop_
_atom_site_label
_atom_site_type_symbol
_atom_site_fract_x
_atom_site_fract_y
_atom_site_fract_z
_atom_site_occupancy
Zr1 Zr 0.000 0.000 0.000 1
Sc1 Sc 0.162 0.338 0.500 1
Pt1 Pt 0.138 0.638 0.000 1
# Size of the total moment (μB per atom): 0.000
# ρ (Mg/m³): 9.52
# Volume (A^3/atom): 19.9

Version three
# ZrSc2Pt2 (PBE, relaxed)
data_ZrSc2Pt2
_cell_length_a 4.267
_cell_length_b 4.267
_cell_length_c 11.476
_cell_angle_alpha 90.00
_cell_angle_beta 90.00
_cell_angle_gamma 90.00
_space_group_name_H-M_alt 'I 4/m m m'
_space_group_IT_number 139
_space_group_name_Hall '-I 4 2'
loop_
_atom_site_label
_atom_site_type_symbol
_atom_site_fract_x
_atom_site_fract_y
_atom_site_fract_z
_atom_site_occupancy
Zr1 Zr 0.000 0.000 0.000 1
Sc1 Sc 0.000 0.500 0.250 1
Pt1 Pt 0.000 0.000 0.389 1
# Size of the total moment (μB per atom): 0.000
# ρ (Mg/m³): 9.08
# Volume (A^3/atom): 20.9

Which structure loses on stability? version three does.

Version one
# ZrScPt (PBE, relaxed)
data_ZrScPt
_cell_length_a 3.385
_cell_length_b 3.385
_cell_length_c 10.351
_cell_angle_alpha 90.00
_cell_angle_beta 90.00
_cell_angle_gamma 90.00
_space_group_name_H-M_alt 'I 4 m m'
_space_group_IT_number 107
_space_group_name_Hall 'I 4 -2'
loop_
_atom_site_label
_atom_site_type_symbol
_atom_site_fract_x
_atom_site_fract_y
_atom_site_fract_z
_atom_site_occupancy
Zr1 Zr 0.000 0.000 0.000 1
Sc1 Sc 0.000 0.000 0.309 1
Pt1 Pt 0.000 0.000 0.655 1
# Size of the total moment (μB per atom): 0.000
# ρ (Mg/m³): 9.27
# Volume (A^3/atom): 19.8

Version two
# ZrScPt (PBE, relaxed)
data_ZrScPt
_cell_length_a 4.5459
_cell_length_b 4.5459
_cell_length_c 3.3619
_cell_angle_alpha 90.00
_cell_angle_beta 90.00
_cell_angle_gamma 120.00
_space_group_name_H-M_alt 'P 3 m 1'
_space_group_IT_number 156
_space_group_name_Hall 'P 3 -2"'
loop_
_atom_site_label
_atom_site_type_symbol
_atom_site_fract_x
_atom_site_fract_y
_atom_site_fract_z
_atom_site_occupancy
Zr1 Zr 0.0000 0.0000 0.0000 1
Sc1 Sc 0.6667 0.3333 0.5703 1
Pt1 Pt 0.3333 0.6667 0.2775 1
# Size of the total moment (μB per atom): 0.000
# ρ (Mg/m³): 9.14
# Volume (A^3/atom): 20.1

Which structure loses on stability? version two does.

Version one
# Zr2Sc2Pt (PBE, relaxed)
data_Zr2Sc2Pt
_cell_length_a 6.913
_cell_length_b 6.913
_cell_length_c 4.825
_cell_angle_alpha 90.00
_cell_angle_beta 90.00
_cell_angle_gamma 90.00
_space_group_name_H-M_alt 'P 4/m b m'
_space_group_IT_number 127
_space_group_name_Hall '-P 4 2ab'
loop_
_atom_site_label
_atom_site_type_symbol
_atom_site_fract_x
_atom_site_fract_y
_atom_site_fract_z
_atom_site_occupancy
Zr1 Zr 0.148 0.352 0.000 1
Sc1 Sc 0.159 0.659 0.500 1
Pt1 Pt 0.000 0.000 0.000 1
# Size of the total moment (μB per atom): 0.000
# ρ (Mg/m³): 6.73
# Volume (A^3/atom): 23.1

Version two
# Zr2Sc2Pt (PBE, relaxed)
data_Zr2Sc2Pt
_cell_length_a 6.809
_cell_length_b 6.809
_cell_length_c 4.791
_cell_angle_alpha 90.00
_cell_angle_beta 90.00
_cell_angle_gamma 90.00
_space_group_name_H-M_alt 'P 4/m b m'
_space_group_IT_number 127
_space_group_name_Hall '-P 4 2ab'
loop_
_atom_site_label
_atom_site_type_symbol
_atom_site_fract_x
_atom_site_fract_y
_atom_site_fract_z
_atom_site_occupancy
Zr1 Zr 0.155 0.345 0.000 1
Sc1 Sc 0.152 0.652 0.500 1
Pt1 Pt 0.000 0.000 0.500 1
# Size of the total moment (μB per atom): 0.000
# ρ (Mg/m³): 6.99
# Volume (A^3/atom): 22.2

Which structure loses on stability? version one does.

Version one
# Pt4Se5 (PBE, relaxed)
data_Pt4Se5
_cell_length_a 7.3953
_cell_length_b 7.3953
_cell_length_c 7.2907
_cell_angle_alpha 90.00
_cell_angle_beta 90.00
_cell_angle_gamma 120.00
_space_group_name_H-M_alt 'P 63/m c m'
_space_group_IT_number 193
_space_group_name_Hall '-P 6c 2'
loop_
_atom_site_label
_atom_site_type_symbol
_atom_site_fract_x
_atom_site_fract_y
_atom_site_fract_z
_atom_site_occupancy
Pt1 Pt 0.0000 0.0000 0.0000 1
Pt2 Pt 0.0000 0.4217 0.2500 1
Se1 Se 0.0000 0.2423 0.7500 1
Se2 Se 0.3333 0.6667 0.0000 1
# Size of the total moment (μB per atom): 0.000
# ρ (Mg/m³): 11.30
# Volume (A^3/atom): 19.2

Version two
# Pt4Se5 (PBE, relaxed)
data_Pt4Se5
_cell_length_a 10.191
_cell_length_b 10.191
_cell_length_c 3.033
_cell_angle_alpha 90.00
_cell_angle_beta 90.00
_cell_angle_gamma 90.00
_space_group_name_H-M_alt 'I 4/m m m'
_space_group_IT_number 139
_space_group_name_Hall '-I 4 2'
loop_
_atom_site_label
_atom_site_type_symbol
_atom_site_fract_x
_atom_site_fract_y
_atom_site_fract_z
_atom_site_occupancy
Pt1 Pt 0.000 0.331 0.000 1
Se1 Se 0.000 0.000 0.000 1
Se2 Se 0.164 0.164 0.500 1
# Size of the total moment (μB per atom): 0.000
# ρ (Mg/m³): 12.39
# Volume (A^3/atom): 17.5

Which structure loses on stability? version two does.